[1]
Computed, not measured: crystalline In2TeAu at its relaxed geometry at the PBE-GGA level of DFT.

## Properties
Final energy ... -3.0988 eV/atom
DOS at the Fermi energy ... 0.24 states/eV per atom
ΔE_f (raw) ... -0.125 eV per atom
Space group ... I-42d

Cell: 6.9753 6.9753 7.6262 Å, 62.79 62.79 90.00°
Last column: nearest neighbours and their distance in Å.
Sites, in units of the cell vectors:
Au: 0.0000 0.0000 0.0000  4 In 2.73
Au: 0.7500 0.2500 0.5000  4 In 2.73
In: 0.6565 0.1250 0.2500  2 Au 2.73, 2 Te 3.00
In: 0.0935 0.6250 0.2500  2 Au 2.73, 2 Te 3.00
In: 0.8750 0.9065 0.7500  2 Au 2.73, 2 Te 3.00
In: 0.3750 0.3435 0.7500  2 Au 2.73, 2 Te 3.00
Te: 0.5000 0.5000 0.0000  4 In 3.00
Te: 0.2500 0.7500 0.5000  4 In 3.00

=====

[2]
Computed, not measured: crystalline InTe2Au at its relaxed geometry at the PBE-GGA level of DFT.

## Properties
Final energy ... -3.2136 eV/atom
DOS at the Fermi energy ... 0.00 states/eV per atom
ΔE_f (raw) ... -0.139 eV per atom
Space group ... Aea2

Cell: 6.3840 12.1638 6.4522 Å, 90.00 90.00 90.00°
Last column: nearest neighbours and their distance in Å.
Sites, in units of the cell vectors:
Te: 0.5402 0.8514 0.1962  2 In 2.83-2.99, 2 Au 2.89-2.98
Te: 0.0402 0.6486 0.1962  2 In 2.83-2.99, 2 Au 2.89-2.98
Te: 0.9598 0.3514 0.6962  2 In 2.83-2.99, 2 Au 2.89-2.98
Te: 0.5402 0.6486 0.6962  2 In 2.83-2.99, 2 Au 2.89-2.98
Te: 0.4598 0.1486 0.6962  2 In 2.83-2.99, 2 Au 2.89-2.98
Te: 0.9598 0.1486 0.1962  2 In 2.83-2.99, 2 Au 2.89-2.98
Te: 0.0402 0.8514 0.6962  2 In 2.83-2.99, 2 Au 2.89-2.98
Te: 0.4598 0.3514 0.1962  2 In 2.83-2.99, 2 Au 2.89-2.98
In: 0.7500 0.5000 0.9631  1 Au 2.78, 4 Te 2.83-2.99
In: 0.7500 0.0000 0.4631  1 Au 2.78, 4 Te 2.83-2.99
In: 0.2500 0.0000 0.9631  1 Au 2.78, 4 Te 2.83-2.99
In: 0.2500 0.5000 0.4631  1 Au 2.78, 4 Te 2.83-2.99
Au: 0.7500 0.0000 0.8943  1 In 2.78, 4 Te 2.89-2.98
Au: 0.2500 0.0000 0.3943  1 In 2.78, 4 Te 2.89-2.98
Au: 0.7500 0.5000 0.3943  1 In 2.78, 4 Te 2.89-2.98
Au: 0.2500 0.5000 0.8943  1 In 2.78, 4 Te 2.89-2.98

=====

[3]
Computed, not measured: crystalline In2TeAu at its relaxed geometry at the PBE-GGA level of DFT.

## Properties
Final energy ... -3.1820 eV/atom
DOS at the Fermi energy ... 0.18 states/eV per atom
ΔE_f (raw) ... -0.208 eV per atom
Space group ... P1

Cell: 4.4858 5.1248 9.9300 Å, 90.00 90.05 89.98°
Last column: nearest neighbours and their distance in Å.
Sites, in units of the cell vectors:
Te: 0.7018 0.4685 0.9476  3 In 3.01-3.04, 2 Au 3.11
Te: 0.2011 0.9681 0.2684  3 In 3.01-3.04, 2 Au 3.10-3.11
In: 0.7012 0.5698 0.2465  1 Au 2.79, 3 Te 3.01-3.04
In: 0.7007 0.6994 0.5879  4 Au 2.85-2.92
In: 0.1999 0.1998 0.6280  4 Au 2.85-2.92
In: 0.2023 0.0702 0.9695  1 Au 2.79, 3 Te 3.01-3.04
Au: 0.6996 0.1953 0.4503  5 In 2.79-2.92, 2 Te 3.10-3.11
Au: 0.2012 0.6957 0.7657  5 In 2.79-2.92, 2 Te 3.11

=====

[4]
Computed, not measured: crystalline In2TeAu at its relaxed geometry at the PBE-GGA level of DFT.

## Properties
Final energy ... -3.0016 eV/atom
DOS at the Fermi energy ... 0.24 states/eV per atom
ΔE_f (raw) ... -0.028 eV per atom
Space group ... P4/mmm

Cell: 5.1365 5.1365 3.9070 Å, 90.00 90.00 90.00°
Last column: nearest neighbours and their distance in Å.
Sites, in units of the cell vectors:
In: 0.5000 0.5000 0.0000  4 Te 3.23, 4 Au 3.23
In: 0.0000 0.0000 0.0000  4 Te 3.23, 4 Au 3.23
Au: 0.0000 0.5000 0.5000  8 In 3.23
Te: 0.5000 0.0000 0.5000  8 In 3.23

=====

[5]
Computed, not measured: crystalline InTe2Au2 at its relaxed geometry at the PBE-GGA level of DFT.

## Properties
Energy above the most stable polymorph in this dataset ... 80 meV per atom
Final energy ... -3.0478 eV/atom
DOS at the Fermi energy ... 0.73 states/eV per atom
ΔE_f (raw) ... 0.067 eV per atom
Space group ... P4/mbm

Cell: 7.9735 7.9735 3.8993 Å, 90.00 90.00 90.00°
Last column: nearest neighbours and their distance in Å.
Sites, in units of the cell vectors:
Au: 0.6238 0.1238 0.0000  1 Au 2.79, 2 Te 2.90
Au: 0.8762 0.6238 0.0000  1 Au 2.79, 2 Te 2.90
Au: 0.1238 0.3762 0.0000  1 Au 2.79, 2 Te 2.90
Au: 0.3762 0.8762 0.0000  1 Au 2.79, 2 Te 2.90
In: 0.5000 0.5000 0.0000  4 Au 3.16, 8 Te 3.50
In: 0.0000 0.0000 0.0000  4 Au 3.16, 8 Te 3.50
Te: 0.8137 0.3137 0.5000  6 Au 2.90-3.19
Te: 0.6863 0.8137 0.5000  6 Au 2.90-3.19
Te: 0.1863 0.6863 0.5000  6 Au 2.90-3.19
Te: 0.3137 0.1863 0.5000  6 Au 2.90-3.19

=====

[6]
Computed, not measured: crystalline In3TeAu at its relaxed geometry at the PBE-GGA level of DFT.

## Properties
Energy above the most stable polymorph in this dataset ... 0 meV per atom
Final energy ... -3.0327 eV/atom
DOS at the Fermi energy ... 0.09 states/eV per atom
ΔE_f (raw) ... -0.106 eV per atom
Space group ... Pm-3m

Cell: 5.3485 5.3485 5.3485 Å, 90.00 90.00 90.00°
Last column: nearest neighbours and their distance in Å.
Sites, in units of the cell vectors:
Au: 0.0000 0.0000 0.0000  6 In 2.67
Te: 0.5000 0.5000 0.5000  12 In 3.78
In: 0.5000 0.0000 0.0000  2 Au 2.67
In: 0.0000 0.5000 0.0000  2 Au 2.67
In: 0.0000 0.0000 0.5000  2 Au 2.67

=====

[7]
Computed, not measured: crystalline InTe4Au2 at its relaxed geometry at the PBE-GGA level of DFT.

## Properties
Final energy ... -3.2194 eV/atom
DOS at the Fermi energy ... 0.37 states/eV per atom
ΔE_f (raw) ... -0.097 eV per atom
Space group ... Fddd

Cell: 7.7904 7.7904 9.3478 Å, 114.58 114.57 90.13°
Last column: nearest neighbours and their distance in Å.
Sites, in units of the cell vectors:
Te: 0.3988 0.1412 0.2834  2 Au 2.73, 1 In 2.93
Te: 0.3654 0.6078 0.2167  2 Au 2.73, 1 In 2.93
Te: 0.8512 0.6088 0.2166  2 Au 2.73, 1 In 2.93
Te: 0.8577 0.1153 0.7165  2 Au 2.73, 1 In 2.93
Te: 0.8589 0.6013 0.7166  2 Au 2.73, 1 In 2.93
Te: 0.3923 0.6347 0.7835  2 Au 2.73, 1 In 2.93
Te: 0.8846 0.1422 0.2833  2 Au 2.73, 1 In 2.93
Te: 0.3911 0.1487 0.7834  2 Au 2.73, 1 In 2.93
Au: 0.1250 0.3750 0.7500  4 Te 2.73
Au: 0.6250 0.3750 0.7500  4 Te 2.73
Au: 0.6250 0.3750 0.2500  4 Te 2.73
Au: 0.6250 0.8750 0.2500  4 Te 2.73
In: 0.2500 0.7499 0.5000  4 Te 2.93
In: 0.0000 0.0001 0.0000  4 Te 2.93

=====

[8]
Computed, not measured: crystalline InTe2Au at its relaxed geometry at the PBE-GGA level of DFT.

## Properties
Final energy ... -3.1215 eV/atom
DOS at the Fermi energy ... 0.54 states/eV per atom
ΔE_f (raw) ... -0.047 eV per atom
Space group ... C2/m

Cell: 5.3005 5.2410 5.2136 Å, 70.69 70.75 109.98°
Last column: nearest neighbours and their distance in Å.
Sites, in units of the cell vectors:
Te: 0.5000 0.0000 0.5000  2 In 3.02, 2 Au 3.02, 2 Te 3.04
Te: 0.0000 0.0000 0.0000  2 Au 3.02, 2 In 3.02, 2 Te 3.04
In: 0.5000 0.5000 0.0000  4 Te 3.02, 2 Au 3.04
Au: 0.0000 0.5000 0.5000  4 Te 3.02, 2 In 3.04

=====

[9]
Computed, not measured: crystalline InTe2Au at its relaxed geometry at the PBE-GGA level of DFT.

## Properties
Final energy ... -3.2507 eV/atom
DOS at the Fermi energy ... 0.00 states/eV per atom
ΔE_f (raw) ... -0.176 eV per atom
Space group ... P1

Cell: 4.4851 7.2953 7.8385 Å, 86.77 90.01 90.10°
Last column: nearest neighbours and their distance in Å.
Sites, in units of the cell vectors:
Te: 0.5324 0.9902 0.4002  1 Au 2.66, 2 In 2.92-2.94
Te: 0.7190 0.4437 0.6783  1 Au 2.65, 1 In 2.86
Te: 0.0311 0.4825 0.2080  1 Au 2.66, 2 In 2.92-2.95
Te: 0.2199 0.0291 0.9298  1 Au 2.65, 1 In 2.86
In: 0.7374 0.8272 0.0891  4 Te 2.86-2.99, 1 Au 2.88
In: 0.2374 0.6454 0.5191  4 Te 2.86-2.99, 1 Au 2.88
Au: 0.4641 0.4969 0.9761  2 Te 2.65-2.66, 1 In 2.88
Au: 0.9654 0.9754 0.6320  2 Te 2.65-2.66, 1 In 2.88

=====

[10]
Computed, not measured: crystalline In2TeAu at its relaxed geometry at the PBE-GGA level of DFT.

## Properties
Final energy ... -3.0976 eV/atom
DOS at the Fermi energy ... 0.60 states/eV per atom
ΔE_f (raw) ... -0.124 eV per atom
Space group ... Cm

Cell: 4.2932 4.2932 7.3200 Å, 72.76 72.76 60.75°
Last column: nearest neighbours and their distance in Å.
Sites, in units of the cell vectors:
In: 0.9846 0.9846 0.0437  3 Au 2.84
In: 0.7541 0.7541 0.7402  3 Te 3.09, 3 In 3.23-3.25
Au: 0.2522 0.2522 0.2430  3 In 2.84, 3 Te 2.94-2.95
Te: 0.5090 0.5090 0.4731  3 Au 2.94-2.95, 3 In 3.09

=====

no.,total moment (μB/cell)
1,0.00
2,0.00
3,0.00
4,0.00
5,0.00
6,0.00
7,0.00
8,0.00
9,0.00
10,0.00